First-principles (PBE) data for a geometry-optimized Ce2DyMg structure, as listed in the Alexandria database.

Unit cell a=5.486 b=5.486 c=5.407 alpha=59.52 beta=59.52 gamma=60.00
Atoms (fractional coordinates):
Ce (0.033, 0.033, 0.902)
Ce (0.231, 0.231, 0.306)
Dy (0.745, 0.745, 0.764)
Mg (0.491, 0.491, 0.528)

Output
* V: 114 Å³/cell
* E above lowest polymorph: 0.029 eV/atom
* total moment: 0.000 μB per atom
* DOS(E_F): 9.02 states/eV/cell
* space-group type: No. 160
* crystal system: trigonal
* ΔE_f: 125 meV per atom

First-principles (PBE) data for a geometry-optimized GaSiSe2 structure, as listed in the Alexandria database.

Unit cell a=6.996 b=6.996 c=6.382 alpha=56.77 beta=56.77 gamma=90.00
Atoms (fractional coordinates):
Si (0.500, 0.500, 0.000)
Si (0.250, 0.750, 0.500)
Ga (0.000, 0.000, 0.000)
Ga (0.750, 0.250, 0.500)
Se (0.583, 0.125, 0.250)
Se (0.167, 0.625, 0.250)
Se (0.375, 0.417, 0.750)
Se (0.875, 0.833, 0.750)

Output
* V: 197 Å³/cell
* total moment: 0.000 μB per atom
* formation energy (no corrections): -13 kJ/mol of formula units
* DOS(E_F): 5.53 states/eV/cell
* space-group type: No. 122
* crystal system: tetragonal

First-principles (PBE) data for a geometry-optimized ZrIn2Tc structure, as listed in the Alexandria database.

Unit cell a=5.639 b=5.639 c=5.639 alpha=144.34 beta=129.15 gamma=63.65
Atoms (fractional coordinates):
In (0.984, 0.984, 0.000)
In (0.516, 0.516, 0.000)
Tc (0.750, 0.250, 0.500)
Zr (0.250, 0.750, 0.500)

Output
* V: 80 Å³/cell
* E above lowest polymorph: 0.073 eV/atom
* total moment: 0.000 μB per atom
* DOS(E_F): 3.20 states/eV/cell
* space-group type: No. 71
* crystal system: orthorhombic
* ΔE_f: 15 meV per atom

First-principles (PBE) data for a geometry-optimized U2Co4Ge3Pt structure, as listed in the Alexandria database.

Unit cell a=3.770 b=3.770 c=10.952 alpha=90.00 beta=90.00 gamma=90.00
Site moments in Bohr magnetons follow the coordinates.
Atoms (fractional coordinates):
U (0.500, 0.000, 0.259)  -1.43
U (0.000, 0.500, 0.741)  -1.43
Co (0.500, 0.500, 0.000)  0.10
Co (0.000, 0.000, 0.000)  0.09
Co (0.500, 0.000, 0.667)  0.48
Co (0.000, 0.500, 0.333)  0.48
Ge (0.000, 0.000, 0.500)  0.01
Ge (0.500, 0.000, 0.878)  0.01
Ge (0.000, 0.500, 0.122)  0.01
Pt (0.500, 0.500, 0.500)  0.01

Output
* V: 156 Å³/cell
* total moment: 0.196 μB per atom
* DOS(E_F): 11.48 states/eV/cell
* space-group type: No. 115
* crystal system: tetragonal
* ΔE_f: -369 meV per atom

First-principles (PBE) data for a geometry-optimized PtRh2W structure, as listed in the Alexandria database.

Unit cell a=3.330 b=3.330 c=5.514 alpha=90.00 beta=90.00 gamma=90.00
Atoms (fractional coordinates):
Pt (0.500, 0.500, 0.748)
Rh (0.000, 0.000, 0.008)
Rh (0.500, 0.500, 0.259)
W (0.000, 0.000, 0.484)

Output
* V: 61 Å³/cell
* E above lowest polymorph: 0.256 eV/atom
* total moment: 0.000 μB per atom
* DOS(E_F): 5.71 states/eV/cell
* space-group type: No. 99
* crystal system: tetragonal
* ΔE_f: 12 meV per atom

First-principles (PBE) data for a geometry-optimized TbNd2Tm2Sc structure, as listed in the Alexandria database.

Unit cell a=5.616 b=6.229 c=10.779 alpha=90.00 beta=90.00 gamma=90.00
Atoms (fractional coordinates):
Tb (0.500, 0.182, 0.743)
Tb (0.500, 0.682, 0.257)
Nd (0.500, 0.173, 0.081)
Nd (0.000, 0.342, 0.258)
Nd (0.500, 0.673, 0.919)
Nd (0.000, 0.842, 0.742)
Tm (0.000, 0.342, 0.911)
Tm (0.500, 0.166, 0.423)
Tm (0.000, 0.842, 0.089)
Tm (0.500, 0.666, 0.577)
Sc (0.000, 0.840, 0.421)
Sc (0.000, 0.340, 0.579)

Output
* V: 377 Å³/cell
* total moment: 0.001 μB per atom
* DOS(E_F): 21.52 states/eV/cell
* space-group type: No. 26
* crystal system: orthorhombic
* ΔE_f: 38 meV per atom

First-principles (PBE) data for a geometry-optimized La2ScFePb structure, as listed in the Alexandria database.

Unit cell a=5.100 b=5.100 c=5.169 alpha=90.00 beta=90.00 gamma=90.00
Atoms (fractional coordinates):
Pb (0.500, 0.500, 0.500)
Sc (0.000, 0.000, 0.500)
Fe (0.000, 0.000, 0.000)
La (0.000, 0.500, 0.000)
La (0.500, 0.000, 0.000)

Output
* V: 134 Å³/cell
* total moment: 0.000 μB per atom
* DOS(E_F): 4.82 states/eV/cell
* space-group type: No. 123
* crystal system: tetragonal
* ΔE_f: -239 meV per atom

First-principles (PBE) data for a geometry-optimized NdEuPdRu structure, as listed in the Alexandria database.

Unit cell a=5.024 b=5.024 c=5.024 alpha=60.00 beta=60.00 gamma=60.00
Site moments in Bohr magnetons follow the coordinates.
Atoms (fractional coordinates):
Eu (0.500, 0.500, 0.500)  6.70
Ru (0.750, 0.750, 0.750)  -0.23
Nd (0.000, 0.000, 0.000)  0.02
Pd (0.250, 0.250, 0.250)  -0.03

Output
* V: 90 Å³/cell
* total moment: 1.662 μB per atom
* DOS(E_F): 10.79 states/eV/cell
* space-group type: No. 216
* crystal system: cubic
* ΔE_f: -267 meV per atom